Density functional theory data (PBE) for a relaxed structure of MnNb2WCl.

Results
Space-group type = P4/mmm (123)
Magnetic moment = 0.002 μB per cell
Final energy = -37.62 eV/cell
Uncorrected formation energy = 1.297 eV/atom

Cell: 4.490 4.490 4.376 Å, 90.00 90.00 90.00°
Fractional coordinates of all 5 atoms:
Nb  0.000  0.500  0.000
Nb  0.500  0.000  0.000
Mn  0.500  0.500  0.500
W  0.000  0.000  0.500
Cl  0.000  0.000  0.000